First-principles (PBE) data for an optimized crystal structure of AcEr3Sn3, as listed in Alexandria via LeMat-Bulk.

Computed properties:
V: 415 Å³/cell
E_form: -525.9 meV per atom
Final energy: -4.784 eV/atom

Cell: 9.4036 9.4036 5.4149 Å, 90.00 90.00 120.00°
Space group P6_3/m (No. 176)
Symmetry-distinct sites (fractional):
Ac (0.3333, 0.6667, 0.2500) x2
Er (0.0014, 0.2350, 0.2500) x6
Sn (0.0707, 0.4383, 0.7500) x6